#A
LiFe2F5, relaxed, DFT PBE with a Hubbard U; SG = No. 1; total magnetic moment = 8.00 μB per formula unit
1.0
5.366 0.000 0.000
-2.670 5.397 0.000
-0.008 -2.854 7.021
Li Fe F
2 4 10
direct
0.000 0.000 0.000 Li
0.227 0.003 0.502 Li
0.398 0.590 0.660 Fe
0.413 0.588 0.160 Fe
0.778 0.342 0.916 Fe
0.788 0.343 0.417 Fe
0.063 0.219 0.503 F
0.123 0.714 0.572 F
0.209 0.562 0.905 F
0.378 0.219 0.002 F
0.458 0.956 0.308 F
0.572 0.557 0.400 F
0.586 0.336 0.667 F
0.723 0.958 0.808 F
0.808 0.713 0.072 F
0.976 0.338 0.168 F

---

#B
LiFe2F5, relaxed, DFT PBE with a Hubbard U; SG = No. 15; total magnetic moment = 8.00 μB per formula unit
1.0
5.864 -2.658 0.000
5.864 2.658 0.000
-0.104 0.000 5.473
Li Fe F
2 4 10
direct
0.000 0.500 0.000 Li
0.500 0.000 0.500 Li
0.150 0.660 0.461 Fe
0.340 0.850 0.039 Fe
0.660 0.150 0.961 Fe
0.850 0.340 0.539 Fe
0.045 0.955 0.750 F
0.132 0.307 0.338 F
0.292 0.532 0.093 F
0.307 0.132 0.838 F
0.468 0.708 0.407 F
0.532 0.292 0.593 F
0.693 0.868 0.162 F
0.708 0.468 0.907 F
0.868 0.693 0.662 F
0.955 0.045 0.250 F

---

Unit: kJ/mol of atoms. Relative energies: #A 0.0; #B 4.5.

---

#A
Li3Fe2F7, relaxed, DFT PBE with a Hubbard U; SG = No. 14; total magnetic moment = 6.00 μB per formula unit
1.0
7.598 0.000 0.000
0.000 10.528 0.000
-4.654 0.000 7.232
Li Fe F
12 8 28
direct
0.121 0.093 0.313 Li
0.121 0.407 0.813 Li
0.216 0.561 0.150 Li
0.216 0.939 0.650 Li
0.343 0.732 0.929 Li
0.343 0.768 0.429 Li
0.657 0.232 0.571 Li
0.657 0.268 0.071 Li
0.784 0.061 0.350 Li
0.784 0.439 0.850 Li
0.879 0.593 0.187 Li
0.879 0.907 0.687 Li
0.224 0.579 0.605 Fe
0.224 0.921 0.105 Fe
0.321 0.226 0.672 Fe
0.321 0.274 0.172 Fe
0.679 0.726 0.828 Fe
0.679 0.774 0.328 Fe
0.776 0.079 0.895 Fe
0.776 0.421 0.395 Fe
0.076 0.115 0.514 F
0.076 0.385 0.014 F
0.125 0.110 0.070 F
0.125 0.390 0.570 F
0.183 0.613 0.357 F
0.183 0.887 0.857 F
0.213 0.577 0.831 F
0.213 0.923 0.331 F
0.352 0.223 0.427 F
0.352 0.277 0.927 F
0.357 0.732 0.177 F
0.357 0.768 0.677 F
0.463 0.042 0.764 F
0.463 0.458 0.264 F
0.537 0.542 0.736 F
0.537 0.958 0.236 F
0.643 0.232 0.323 F
0.643 0.268 0.823 F
0.648 0.723 0.073 F
0.648 0.777 0.573 F
0.787 0.077 0.669 F
0.787 0.423 0.169 F
0.817 0.113 0.143 F
0.817 0.387 0.643 F
0.875 0.610 0.430 F
0.875 0.890 0.930 F
0.924 0.615 0.986 F
0.924 0.885 0.486 F

---

#B
Li3Fe2F7, relaxed, DFT PBE with a Hubbard U; SG = No. 15; total magnetic moment = 8.00 μB per formula unit
1.0
5.385 -2.596 0.000
5.385 2.596 0.000
-1.923 0.000 9.787
Li Fe F
6 4 14
direct
0.000 0.500 0.500 Li
0.180 0.679 0.840 Li
0.321 0.820 0.660 Li
0.500 0.000 0.000 Li
0.679 0.180 0.340 Li
0.820 0.321 0.160 Li
0.079 0.592 0.154 Fe
0.408 0.921 0.346 Fe
0.592 0.079 0.654 Fe
0.921 0.408 0.846 Fe
0.009 0.813 0.625 F
0.168 0.258 0.672 F
0.187 0.991 0.875 F
0.258 0.168 0.172 F
0.259 0.421 0.963 F
0.421 0.259 0.463 F
0.443 0.557 0.250 F
0.557 0.443 0.750 F
0.579 0.741 0.537 F
0.741 0.579 0.037 F
0.742 0.832 0.828 F
0.813 0.009 0.125 F
0.832 0.742 0.328 F
0.991 0.187 0.375 F

---

Unit: kJ/mol of atoms. Relative energies: #A 13.1; #B 0.0.

---

#A
Li2Fe2F, relaxed, DFT PBE with a Hubbard U; SG = No. 139; total magnetic moment = 6.20 μB per formula unit
1.0
-1.663 1.663 7.697
1.663 -1.663 7.697
1.663 1.663 -7.697
Li Fe F
2 2 1
direct
0.086 0.086 0.000 Li
0.914 0.914 0.000 Li
0.250 0.750 0.500 Fe
0.750 0.250 0.500 Fe
0.500 0.500 0.000 F

---

#B
Li2Fe2F, relaxed, DFT PBE with a Hubbard U; SG = No. 127; total magnetic moment = 7.08 μB per formula unit
1.0
5.212 0.000 0.000
0.000 5.212 0.000
0.000 0.000 5.984
Li Fe F
4 4 2
direct
0.197 0.303 0.000 Li
0.303 0.803 0.000 Li
0.697 0.197 0.000 Li
0.803 0.697 0.000 Li
0.196 0.696 0.500 Fe
0.304 0.196 0.500 Fe
0.696 0.804 0.500 Fe
0.804 0.304 0.500 Fe
0.000 0.000 0.000 F
0.500 0.500 0.000 F

---

Unit: kJ/mol of atoms. Relative energies: #A 16.3; #B 0.0.

---

#A
LiFeNF2, relaxed, DFT PBE with a Hubbard U; SG = No. 123; total magnetic moment = 4.00 μB per formula unit
1.0
4.058 0.000 0.000
0.000 4.058 0.000
0.000 0.000 3.767
Li Fe N F
1 1 1 2
direct
0.000 0.000 0.000 Li
0.500 0.500 0.500 Fe
0.500 0.500 0.000 N
0.000 0.500 0.500 F
0.500 0.000 0.500 F

---

#B
LiFeNF2, relaxed, DFT PBE with a Hubbard U; SG = No. 123; total magnetic moment = 6.00 μB per formula unit
1.0
3.515 0.000 0.000
0.000 3.515 0.000
0.000 0.000 4.136
Li Fe N F
1 1 1 2
direct
0.000 0.000 0.000 Li
0.500 0.500 0.500 Fe
0.000 0.000 0.500 N
0.000 0.500 0.000 F
0.500 0.000 0.000 F

---

Unit: kJ/mol of atoms. Relative energies: #A 0.0; #B 35.3.

---

#A
Li4FeO3F, relaxed, DFT PBE with a Hubbard U; SG = No. 9; total magnetic moment = 5.00 μB per formula unit
1.0
4.030 -3.944 0.000
4.030 3.944 0.000
-0.060 0.000 6.249
Li Fe O F
8 2 6 2
direct
0.001 0.999 0.500 Li
0.189 0.509 0.719 Li
0.438 0.682 0.992 Li
0.509 0.189 0.219 Li
0.678 0.800 0.309 Li
0.682 0.438 0.492 Li
0.800 0.678 0.809 Li
0.999 0.001 0.000 Li
0.143 0.527 0.254 Fe
0.527 0.143 0.754 Fe
0.082 0.662 0.987 O
0.472 0.536 0.270 O
0.536 0.472 0.770 O
0.640 0.966 0.990 O
0.662 0.082 0.487 O
0.966 0.640 0.490 O
0.131 0.165 0.243 F
0.165 0.131 0.743 F

---

#B
Li4FeO3F, relaxed, DFT PBE with a Hubbard U; SG = No. 36; total magnetic moment = 5.00 μB per formula unit
1.0
4.026 -3.642 0.000
4.026 3.642 0.000
0.000 0.000 6.414
Li Fe O F
8 2 6 2
direct
0.079 0.615 0.500 Li
0.329 0.342 0.261 Li
0.342 0.329 0.761 Li
0.385 0.921 0.500 Li
0.615 0.079 0.000 Li
0.658 0.671 0.261 Li
0.671 0.658 0.761 Li
0.921 0.385 0.000 Li
0.147 0.853 0.040 Fe
0.853 0.147 0.540 Fe
0.175 0.239 0.513 O
0.239 0.175 0.013 O
0.299 0.701 0.274 O
0.701 0.299 0.774 O
0.761 0.825 0.513 O
0.825 0.761 0.013 O
0.295 0.705 0.758 F
0.705 0.295 0.258 F

---

#C
Li4FeO3F, relaxed, DFT PBE with a Hubbard U; SG = No. 1; total magnetic moment = 4.01 μB per formula unit
1.0
5.036 0.000 0.000
-0.997 5.145 0.000
-2.262 -2.173 7.321
Li Fe O F
8 2 6 2
direct
0.000 0.000 0.000 Li
0.033 0.482 0.858 Li
0.125 0.958 0.436 Li
0.344 0.492 0.317 Li
0.445 0.424 0.638 Li
0.622 0.015 0.226 Li
0.681 0.947 0.532 Li
0.927 0.489 0.434 Li
0.420 0.871 0.805 Fe
0.724 0.515 0.092 Fe
0.070 0.222 0.651 O
0.192 0.154 0.829 O
0.329 0.726 0.546 O
0.701 0.647 0.875 O
0.723 0.727 0.322 O
0.922 0.260 0.180 O
0.294 0.819 0.030 F
0.508 0.217 0.426 F

---

#D
Li4FeO3F, relaxed, DFT PBE with a Hubbard U; SG = No. 1; total magnetic moment = 3.98 μB per formula unit
1.0
5.482 0.000 0.000
2.723 4.985 0.000
2.173 0.963 6.593
Li Fe O F
8 2 6 2
direct
0.000 0.000 0.000 Li
0.000 0.113 0.608 Li
0.179 0.612 0.552 Li
0.279 0.547 0.138 Li
0.336 0.040 0.198 Li
0.416 0.665 0.745 Li
0.472 0.090 0.721 Li
0.696 0.143 0.350 Li
0.749 0.626 0.391 Fe
0.828 0.590 0.962 Fe
0.000 0.783 0.321 O
0.013 0.797 0.803 O
0.442 0.807 0.967 O
0.443 0.929 0.491 O
0.593 0.382 0.552 O
0.987 0.380 0.194 O
0.043 0.312 0.769 F
0.599 0.229 0.088 F

---

Unit: kJ/mol of atoms. Relative energies: #A 2.1; #B 0.0; #C 17.6; #D 5.8.

---

#A
Li4FeO3F, relaxed, DFT PBE with a Hubbard U; SG = No. 1; total magnetic moment = 5.00 μB per formula unit
1.0
5.293 0.000 0.000
2.224 4.940 0.000
1.392 2.342 7.339
Li Fe O F
8 2 6 2
direct
0.000 0.000 0.000 Li
0.002 0.481 0.153 Li
0.011 0.261 0.575 Li
0.047 0.718 0.800 Li
0.471 0.347 0.367 Li
0.505 0.753 0.579 Li
0.514 0.602 0.031 Li
0.525 0.052 0.160 Li
0.041 0.931 0.343 Fe
0.494 0.119 0.790 Fe
0.209 0.683 0.207 O
0.254 0.953 0.775 O
0.277 0.081 0.383 O
0.608 0.352 0.586 O
0.740 0.842 0.971 O
0.773 0.230 0.182 O
0.277 0.359 0.955 F
0.912 0.703 0.583 F

---

#B
Li4FeO3F, relaxed, DFT PBE with a Hubbard U; SG = No. 1; total magnetic moment = 5.00 μB per formula unit
1.0
5.462 0.000 0.000
0.393 5.664 0.000
2.357 2.031 6.329
Li Fe O F
8 2 6 2
direct
0.000 0.000 0.000 Li
0.008 0.372 0.676 Li
0.328 0.674 0.275 Li
0.357 0.652 0.739 Li
0.461 0.093 0.860 Li
0.514 0.171 0.353 Li
0.667 0.709 0.913 Li
0.692 0.755 0.393 Li
0.015 0.009 0.514 Fe
0.083 0.418 0.127 Fe
0.190 0.343 0.380 O
0.198 0.327 0.877 O
0.281 0.743 0.001 O
0.329 0.837 0.471 O
0.823 0.037 0.784 O
0.868 0.077 0.288 O
0.726 0.586 0.184 F
0.750 0.620 0.657 F

---

#C
Li4FeO3F, relaxed, DFT PBE with a Hubbard U; SG = No. 2; total magnetic moment = 5.00 μB per formula unit
1.0
5.202 0.000 0.000
1.953 4.955 0.000
1.265 2.306 7.566
Li Fe O F
8 2 6 2
direct
0.210 0.323 0.273 Li
0.234 0.757 0.510 Li
0.249 0.542 0.950 Li
0.255 0.022 0.077 Li
0.745 0.978 0.923 Li
0.751 0.458 0.050 Li
0.766 0.243 0.490 Li
0.790 0.677 0.727 Li
0.217 0.098 0.739 Fe
0.783 0.902 0.261 Fe
0.025 0.047 0.315 O
0.042 0.339 0.873 O
0.482 0.804 0.887 O
0.518 0.196 0.113 O
0.958 0.661 0.127 O
0.975 0.953 0.685 O
0.349 0.327 0.503 F
0.651 0.673 0.497 F

---

Unit: kJ/mol of atoms. Relative energies: #A 2.3; #B 0.0; #C 2.8.